Entry 1:
Dy7Y3Sc2: relaxed, PBE.

Results
The density of states at the Fermi level is 64.5 states/eV per cell. The total magnetization comes out at 0.00 μB/atom. For the energy of formation, the calculation gives 0.2786 eV per atom.

a b c (Å): 6.4378 6.4378 32.3939
angles (deg): 90.00 90.00 120.00
Space group R-3m (No. 166, hexagonal axes)
Inequivalent atoms, fractional coordinates:
Dy 0.0000 0.0000 0.0000 (multiplicity 3)
Dy 0.0029 0.5015 0.4175 (multiplicity 18)
Y 0.0000 0.0000 0.3491 (multiplicity 6)
Y 0.0000 0.0000 0.5000 (multiplicity 3)
Sc 0.0000 0.0000 0.1666 (multiplicity 6)

---

Entry 2:
InRh2CBr: relaxed, PBE.

Results
The density of states at the Fermi level is 3.6 states/eV per cell. The total magnetization comes out at 0.00 μB/atom. Its uncorrected formation energy is 534 meV/atom.

a b c (Å): 4.008 4.008 5.740
angles (deg): 90.00 90.00 90.00
Space group P4/mmm (No. 123)
Inequivalent atoms, fractional coordinates:
In 0.000 0.000 0.000 (multiplicity 1)
Rh 0.000 0.500 0.500 (multiplicity 2)
C 0.500 0.500 0.500 (multiplicity 1)
Br 0.500 0.500 0.000 (multiplicity 1)

---

Entry 3:
LiDyScNi: relaxed, PBE.

Results
The density of states at the Fermi level is 14.3 states/eV per cell. The total magnetization comes out at 0.00 μB/atom. For the energy of formation, the calculation gives -0.1519 eV per atom.

a b c (Å): 6.748 6.748 6.748
angles (deg): 90.00 90.00 90.00
Space group F-43m (No. 216)
Inequivalent atoms, fractional coordinates:
Li 0.000 0.000 0.000 (multiplicity 4)
Dy 0.250 0.250 0.250 (multiplicity 4)
Sc 0.250 0.250 0.750 (multiplicity 4)
Ni 0.000 0.000 0.500 (multiplicity 4)

---

Entry 4:
Tl2HSe2: relaxed, PBE.

Results
The density of states at the Fermi level is 3.1 states/eV per cell. The total magnetization comes out at 0.00 μB/atom. The value obtained for the offset from the most stable computed form is 0.000 eV per atom.

a b c (Å): 14.549 5.698 8.559
angles (deg): 90.00 125.33 90.00
Space group C2/m (No. 12)
Inequivalent atoms, fractional coordinates:
Tl 0.068 0.000 0.363 (multiplicity 4)
Tl 0.235 0.000 0.188 (multiplicity 4)
H 0.166 0.500 0.272 (multiplicity 4)
Se 0.073 0.500 0.300 (multiplicity 4)
Se 0.161 0.000 0.761 (multiplicity 4)